Record 1
Computed, not measured: a geometry-optimized Zr2ZnP structure at the PBE-GGA level of DFT.

```
Zr2ZnP
1.0
0.3746 -3.8087 -2.7247
-2.4726 -0.2905 -3.9840
2.1870 0.2852 -4.1481
Zr Zn P
2 1 1
direct
0.0000 0.0000 0.0000
0.2500 0.2500 0.2500
0.7500 0.7500 0.7500
0.5000 0.5000 0.5000
```

Computed properties:
- ρ: 6.32 g cm⁻³
- ΔH_f (0 K): 0.18 eV per atom
- DOS(E_F): 3.97 states/eV/f.u.
- Magnetization: 0.70 μB per cell


Record 2
Computed, not measured: a geometry-optimized LaBe3P3 structure at the PBE-GGA level of DFT.

```
LaBe3P3
1.0
6.0752 0.0000 0.0000
0.0000 6.0752 0.0000
0.0000 0.0000 6.0752
P Be La
6 6 2
direct
0.0000 0.2500 0.5000
0.0000 0.7500 0.5000
0.5000 0.0000 0.7500
0.7500 0.5000 0.0000
0.5000 0.0000 0.2500
0.2500 0.5000 0.0000
0.2500 0.0000 0.5000
0.0000 0.5000 0.2500
0.5000 0.7500 0.0000
0.7500 0.0000 0.5000
0.0000 0.5000 0.7500
0.5000 0.2500 0.0000
0.5000 0.5000 0.5000
0.0000 0.0000 0.0000
```

Computed properties:
- ρ: 3.83 g cm⁻³
- ΔH_f (0 K): -0.54 eV per atom
- DOS(E_F): 2.44 states/eV/f.u.
- Magnetization: 0.00 μB per cell
- Offset from the most stable computed form: 0.50 eV/f.u.


Record 3
Computed, not measured: a geometry-optimized ReSi2Ir structure at the PBE-GGA level of DFT.

```
ReSi2Ir
1.0
4.9985 0.0003 0.0000
2.4537 4.3548 0.0000
-3.7261 -2.1776 2.5218
Ir Re Si
1 1 2
direct
0.5000 0.5000 0.0000
0.7500 0.2500 0.5000
0.0000 0.0000 0.0000
0.2500 0.7500 0.5000
```

Computed properties:
- ρ: 13.15 g cm⁻³
- DOS(E_F): 3.18 states/eV/f.u.
- Magnetization: 0.00 μB per cell
- Raw formation energy: -28 meV per atom
- Offset from the most stable computed form: 1.42 eV/f.u.